Material: FeCoAs3
Method: DFT, PBE
State: optimized geometry

Calculated values
As for the density of states at the Fermi level: 1.191 states/eV/atom. Its final energy is -5.128 eV per atom. The space-group type is Pm-3m, No. 221. The calculation puts the calculated formation energy at 3.88 eV/f.u.

Geometry as CIF:
```
data_FeCoAs3
_chemical_formula_sum 'Fe1 Co1 As3'
_space_group_name_H-M_alt 'P 1'
_space_group_IT_number 1
_cell_length_a 4.5214
_cell_length_b 4.5214
_cell_length_c 4.5214
_cell_angle_alpha 90.00
_cell_angle_beta 90.00
_cell_angle_gamma 90.00
loop_
_space_group_symop_operation_xyz
'x,y,z'
loop_
_atom_site_label
_atom_site_fract_x
_atom_site_fract_y
_atom_site_fract_z
As1 0.0000 0.5000 0.0000
As2 0.0000 0.0000 0.5000
As3 0.5000 0.0000 0.0000
Co1 0.5000 0.5000 0.5000
Fe1 0.0000 0.0000 0.0000
```